No. 1
Below is crystalline PrDy2Bi at its relaxed geometry, with properties calculated at the PBE-GGA level.

Geometry as CIF:
```
data_PrDy2Bi
_chemical_formula_sum 'Pr1 Dy2 Bi1'
_space_group_name_H-M_alt 'P 1'
_space_group_IT_number 1
_space_group_name_Hall 'P 1'
_cell_length_a 4.0699
_cell_length_b 4.0699
_cell_length_c 9.9515
_cell_angle_alpha 78.20
_cell_angle_beta 78.20
_cell_angle_gamma 60.00
loop_
_atom_site_label
_atom_site_fract_x
_atom_site_fract_y
_atom_site_fract_z
Dy1 0.0690 0.0690 0.7930
Dy2 0.2642 0.2642 0.2075
Pr1 0.5005 0.5005 0.4985
Bi1 0.6663 0.6663 0.0011
```

***

No. 2
Below is crystalline PrDyBi at its relaxed geometry, with properties calculated at the PBE-GGA level.

Geometry as CIF:
```
data_PrDyBi
_chemical_formula_sum 'Pr2 Dy2 Bi2'
_space_group_name_H-M_alt 'P 1'
_space_group_IT_number 1
_space_group_name_Hall 'P 1'
_cell_length_a 4.1650
_cell_length_b 4.1650
_cell_length_c 10.5761
_cell_angle_alpha 90.00
_cell_angle_beta 90.00
_cell_angle_gamma 90.00
loop_
_atom_site_label
_atom_site_fract_x
_atom_site_fract_y
_atom_site_fract_z
Dy1 0.0000 0.5000 0.9100
Dy2 0.5000 0.0000 0.0900
Bi1 0.0000 0.5000 0.2377
Bi2 0.5000 0.0000 0.7623
Pr1 0.5000 0.0000 0.4043
Pr2 0.0000 0.5000 0.5957
```

***

no.,magnetization (μB per formula unit),formation energy (eV per atom)
1,0.031,-0.18
2,0.001,-0.49